Record 1
VASP calculation (GGA-PBE) on a relaxed structure of Gd2DyHo.

Geometry as POSCAR:
```
Gd2DyHo
1.0
-1.743 3.032 -0.634
-3.159 0.585 1.519
3.646 6.140 9.375
Gd Ho Dy
2 1 1
Direct
0.750 0.750 0.750
0.250 0.250 0.250
0.000 0.000 0.000
0.500 0.500 0.500
```

Properties
Calculated volume: 31.73 Å³/atom
Uncorrected energy: -9.3103 eV/atom
ΔH_f (0 K): 0.025 eV/atom
ΔE to the lowest computed polymorph: 0.000 eV/atom
Space-group type: No. 166

Record 2
VASP calculation (GGA-PBE) on a relaxed structure of RbZn2MoPb.

Geometry as POSCAR:
```
RbZn2MoPb
1.0
5.888 0.000 0.000
0.000 6.800 0.000
0.000 0.000 5.888
Pb Mo Zn Rb
1 1 2 1
Direct
0.000 0.500 0.000
0.500 0.500 0.500
0.000 0.000 0.500
0.500 0.000 0.000
0.000 0.000 0.000
```

Properties
Calculated volume: 47.15 Å³/atom
Uncorrected energy: -1.7828 eV/atom
ΔH_f (0 K): 1.828 eV/atom
Space-group type: No. 123